The following is a DFT calculation (PBE-GGA) of a relaxed Ba2SrYPd crystal.

a = 6.395 Å, b = 6.395 Å, c = 5.614 Å
α = 90.00°, β = 90.00°, γ = 90.00°
Element x y z (fractional)
Ba  0.000  0.500  0.000
Ba  0.500  0.000  0.000
Sr  0.000  0.000  0.500
Y  0.500  0.500  0.500
Pd  0.500  0.500  0.000

Output
final energy	-17.99	eV per cell
space group	P4/mmm
ρ	4034	kg/m³
total magnetic moment	0.00	μB/cell

The following is a DFT calculation (PBE-GGA) of a relaxed DyPaCuAu crystal.

a = 5.013 Å, b = 5.013 Å, c = 5.013 Å
α = 60.00°, β = 60.00°, γ = 60.00°
Element x y z (fractional)
Dy  0.000  0.000  0.000
Pa  0.500  0.500  0.500
Cu  0.250  0.250  0.250
Au  0.750  0.750  0.750

Output
final energy	-22.18	eV per cell
space group	F-43m
ρ	12192	kg/m³
total magnetic moment	0.50	μB/cell

The following is a DFT calculation (PBE-GGA) of a relaxed Te5Pt crystal.

a = 7.055 Å, b = 7.055 Å, c = 3.994 Å
α = 90.00°, β = 90.00°, γ = 120.00°
Element x y z (fractional)
Te  0.000  0.726  0.000
Te  0.274  0.274  0.000
Te  0.333  0.667  0.500
Te  0.667  0.333  0.500
Te  0.726  0.000  0.000
Pt  0.000  0.000  0.500

Output
final energy	-21.27	eV per cell
space group	P-62m
ρ	8037	kg/m³
ΔE to the lowest computed polymorph	0.256	eV/atom
energy relative to the elements, uncorrected	0.08	eV per atom
total magnetic moment	0.00	μB/cell

The following is a DFT calculation (PBE-GGA) of a relaxed ReSeNO2 crystal.

a = 3.763 Å, b = 3.763 Å, c = 4.335 Å
α = 90.00°, β = 90.00°, γ = 90.00°
Element x y z (fractional)
Re  0.000  0.000  0.000
Se  0.500  0.500  0.500
N  0.500  0.500  0.000
O  0.000  0.500  0.500
O  0.500  0.000  0.500

Output
final energy	-28.00	eV per cell
space group	P4/mmm
ρ	8415	kg/m³
energy relative to the elements, uncorrected	1.24	eV per atom
total magnetic moment	4.26	μB/cell

The following is a DFT calculation (PBE-GGA) of a relaxed Ce2ScHg4 crystal.

a = 9.847 Å, b = 9.847 Å, c = 9.847 Å
α = 29.09°, β = 29.09°, γ = 29.09°
Element x y z (fractional)
Ce  0.247  0.247  0.247
Ce  0.753  0.753  0.753
Sc  0.000  0.000  0.000
Hg  0.135  0.135  0.135
Hg  0.365  0.365  0.365
Hg  0.635  0.635  0.635
Hg  0.865  0.865  0.865

Output
final energy	-20.90	eV per cell
space group	R-3m
ρ	9380	kg/m³
total magnetic moment	2.32	μB/cell

The following is a DFT calculation (PBE-GGA) of a relaxed CeScCuPt crystal.

a = 4.863 Å, b = 4.863 Å, c = 4.863 Å
α = 60.00°, β = 60.00°, γ = 60.00°
Element x y z (fractional)
Ce  0.000  0.000  0.000
Sc  0.500  0.500  0.500
Cu  0.750  0.750  0.750
Pt  0.250  0.250  0.250

Output
final energy	-24.78	eV per cell
space group	F-43m
ρ	9063	kg/m³
total magnetic moment	0.76	μB/cell